[1]
! ErTlNiTe3 (GGA-PBE, optimized geometry); values from VASP
&SYSTEM
  ibrav = 0, nat = 24, ntyp = 4
/
ATOMIC_SPECIES
Te 127.60 Te.upf
Er 167.26 Er.upf
Ni 58.69 Ni.upf
Tl 204.38 Tl.upf
ATOMIC_POSITIONS crystal
Te 0.968 0.000 0.141
Te 0.219 0.500 0.219
Te 0.532 0.500 0.641
Te 0.781 0.000 0.781
Te 0.902 0.500 0.564
Te 0.098 0.000 0.436
Te 0.598 0.000 0.064
Te 0.468 0.000 0.359
Te 0.032 0.500 0.859
Te 0.402 0.500 0.936
Te 0.281 0.000 0.719
Te 0.719 0.500 0.281
Er 0.035 0.000 0.690
Er 0.535 0.000 0.810
Er 0.965 0.500 0.310
Er 0.465 0.500 0.190
Ni 0.231 0.500 0.820
Ni 0.769 0.000 0.180
Ni 0.731 0.500 0.680
Ni 0.269 0.000 0.320
Tl 0.194 0.000 0.997
Tl 0.694 0.000 0.503
Tl 0.806 0.500 0.003
Tl 0.306 0.500 0.497
CELL_PARAMETERS angstrom
-3.241 7.285 -9.724
-3.278 -2.538 -0.809
-7.294 6.980 7.660
! - Distance to the lowest polymorph of the same formula: 65.7 meV/atom
! - Uncorrected energy: -4.27 eV per atom
! - Symmetry: No. 62
! - Crystal system: orthorhombic

=====

[2]
! ErTlNiTe3 (GGA-PBE, optimized geometry); values from VASP
&SYSTEM
  ibrav = 0, nat = 12, ntyp = 4
/
ATOMIC_SPECIES
Tl 204.38 Tl.upf
Er 167.26 Er.upf
Ni 58.69 Ni.upf
Te 127.60 Te.upf
ATOMIC_POSITIONS crystal
Tl 0.285 0.750 0.264
Tl 0.715 0.250 0.736
Er 0.820 0.750 0.355
Er 0.180 0.250 0.645
Ni 0.596 0.250 0.108
Ni 0.404 0.750 0.892
Te 0.321 0.250 0.983
Te 0.679 0.750 0.017
Te 0.034 0.250 0.320
Te 0.595 0.250 0.362
Te 0.966 0.750 0.680
Te 0.405 0.750 0.638
CELL_PARAMETERS angstrom
9.775 0.000 0.000
0.000 4.169 0.000
-3.592 0.000 9.296
! - Distance to the lowest polymorph of the same formula: 0.0 meV/atom
! - Uncorrected energy: -4.33 eV per atom
! - Symmetry: No. 11
! - Crystal system: monoclinic

=====

[3]
! ErTlNiTe3 (GGA-PBE, optimized geometry); values from VASP
&SYSTEM
  ibrav = 0, nat = 12, ntyp = 4
/
ATOMIC_SPECIES
Te 127.60 Te.upf
Tl 204.38 Tl.upf
Er 167.26 Er.upf
Ni 58.69 Ni.upf
ATOMIC_POSITIONS crystal
Te 0.076 0.847 0.750
Te 0.372 0.257 0.578
Te 0.628 0.743 0.078
Te 0.628 0.743 0.422
Te 0.372 0.257 0.922
Te 0.924 0.153 0.250
Tl 0.749 0.502 0.750
Tl 0.251 0.498 0.250
Er 0.000 0.000 0.500
Er 0.000 0.000 0.000
Ni 0.479 0.042 0.750
Ni 0.521 0.958 0.250
CELL_PARAMETERS angstrom
4.119 0.000 0.000
2.059 8.060 0.000
0.000 0.000 10.897
! - Distance to the lowest polymorph of the same formula: 22.9 meV/atom
! - Uncorrected energy: -4.31 eV per atom
! - Symmetry: No. 63
! - Crystal system: orthorhombic

=====

[4]
! ErTm6Ni2Te2 (GGA-PBE, optimized geometry); values from VASP
&SYSTEM
  ibrav = 0, nat = 11, ntyp = 4
/
ATOMIC_SPECIES
Tm 168.93 Tm.upf
Te 127.60 Te.upf
Ni 58.69 Ni.upf
Er 167.26 Er.upf
ATOMIC_POSITIONS crystal
Tm 0.765 0.411 0.353
Tm 0.397 0.264 0.133
Tm 0.131 0.264 0.867
Tm 0.746 0.060 0.685
Tm 0.375 0.060 0.315
Tm 0.058 0.411 0.647
Te 0.019 0.019 0.000
Te 0.416 0.916 0.500
Ni 0.516 0.753 0.762
Ni 0.991 0.753 0.238
Er 0.681 0.681 0.000
CELL_PARAMETERS angstrom
-1.908 7.710 4.726
1.908 -7.710 4.726
1.908 7.710 -4.726
! - Uncorrected energy: -5.12 eV per atom
! - Symmetry: No. 44
! - Crystal system: orthorhombic

=====

[5]
! Y2Er2Tm3Ni2Te2 (GGA-PBE, optimized geometry); values from VASP
&SYSTEM
  ibrav = 0, nat = 11, ntyp = 5
/
ATOMIC_SPECIES
Er 167.26 Er.upf
Y 88.91 Y.upf
Te 127.60 Te.upf
Tm 168.93 Tm.upf
Ni 58.69 Ni.upf
ATOMIC_POSITIONS crystal
Er 0.394 0.748 0.647
Er 0.101 0.748 0.353
Y 0.783 0.098 0.684
Y 0.414 0.098 0.316
Te 0.140 0.140 0.000
Te 0.743 0.243 0.500
Tm 0.762 0.895 0.867
Tm 0.028 0.895 0.133
Tm 0.476 0.476 0.000
Ni 0.164 0.403 0.761
Ni 0.642 0.403 0.239
CELL_PARAMETERS angstrom
9.248 -0.603 -0.860
-3.558 1.487 8.472
2.636 -5.036 -7.370
! - Distance to the lowest polymorph of the same formula: 12.4 meV/atom
! - Uncorrected energy: -5.48 eV per atom
! - Symmetry: No. 44
! - Crystal system: orthorhombic

=====

[6]
! Y3Er2Tm2Ni2Te2 (GGA-PBE, optimized geometry); values from VASP
&SYSTEM
  ibrav = 0, nat = 11, ntyp = 5
/
ATOMIC_SPECIES
Y 88.91 Y.upf
Tm 168.93 Tm.upf
Er 167.26 Er.upf
Ni 58.69 Ni.upf
Te 127.60 Te.upf
ATOMIC_POSITIONS crystal
Y 0.913 0.098 0.815
Y 0.283 0.098 0.185
Y 0.977 0.477 0.500
Tm 0.600 0.747 0.853
Tm 0.894 0.747 0.147
Er 0.528 0.895 0.632
Er 0.263 0.895 0.368
Ni 0.142 0.403 0.738
Ni 0.665 0.403 0.262
Te 0.641 0.141 0.500
Te 0.242 0.242 0.000
CELL_PARAMETERS angstrom
6.503 -6.141 -2.594
2.628 7.340 5.094
-3.448 -8.514 -1.536
! - Distance to the lowest polymorph of the same formula: 14.5 meV/atom
! - Uncorrected energy: -5.67 eV per atom
! - Symmetry: No. 44
! - Crystal system: orthorhombic

=====

Look up the uncorrected energy of the fifth one.
-5.48 eV per atom

=====

Look up the uncorrected energy of the sixth one.
-5.67 eV per atom